The following is a GGA-PBE calculation of crystalline VOsPd3 at its relaxed geometry, from the Alexandria database.

abc: 4.7864 4.7864 4.7864
angles: 90.00 90.00 90.00
Each line ends with the local moment (μB).
Fractional coordinates of all 5 atoms:
Os  0.0000  0.0000  0.0000  0.03
Pd  0.0000  0.5000  0.0000  0.01
Pd  0.0000  0.0000  0.5000  0.01
Pd  0.5000  0.0000  0.0000  0.01
V  0.5000  0.5000  0.5000  2.86

total magnetization: 3.50 μB/f.u.
relative energy among the computed polymorphs: 43 meV/atom
ΔE_f: 1.449 eV/atom
space group: Pm-3m
DFT total energy: -5.74 eV/atom

***

The following is a GGA-PBE calculation of crystalline Sc4Al5Ga2 at its relaxed geometry, from the Alexandria database.

abc: 3.1461 7.1321 9.2161
angles: 85.67 90.00 90.00
Fractional coordinates of all 11 atoms:
Sc  0.5000  0.2783  0.5574
Sc  0.5000  0.8314  0.8854
Sc  0.5000  0.7217  0.4426
Sc  0.5000  0.1686  0.1146
Al  0.0000  0.4380  0.2962
Al  0.0000  0.8052  0.1645
Al  0.0000  0.5000  0.0000
Al  0.0000  0.1948  0.8355
Al  0.0000  0.5620  0.7038
Ga  0.0000  0.9388  0.6356
Ga  0.0000  0.0613  0.3644

total magnetization: 0.00 μB/f.u.
ΔE_f: -0.458 eV/atom
space group: P2/m
DFT total energy: -5.01 eV/atom

***

The following is a GGA-PBE calculation of crystalline Ga2As2H at its relaxed geometry, from the Alexandria database.

abc: 5.6011 5.6011 5.1579
angles: 90.00 90.00 90.00
Fractional coordinates of all 10 atoms:
H  0.0000  0.0000  0.0000
H  0.5000  0.5000  0.0000
As  0.2586  0.7586  0.5000
As  0.7586  0.7414  0.5000
As  0.7414  0.2414  0.5000
As  0.2414  0.2586  0.5000
Ga  0.3339  0.8339  0.0000
Ga  0.8339  0.6661  0.0000
Ga  0.6661  0.1661  0.0000
Ga  0.1661  0.3339  0.0000

total magnetization: 0.00 μB/f.u.
relative energy among the computed polymorphs: 0 meV/atom
space group: P4/mbm
DFT total energy: -3.60 eV/atom

***

The following is a GGA-PBE calculation of crystalline Pm3YEr2 at its relaxed geometry, from the Alexandria database.

abc: 3.6622 11.4605 11.2416
angles: 120.73 99.32 90.00
Fractional coordinates of all 12 atoms:
Pm  0.2769  0.1537  0.5530
Pm  0.0547  0.6836  0.1101
Pm  0.3869  0.5166  0.7747
Pm  0.7231  0.8463  0.4470
Pm  0.6131  0.4834  0.2253
Pm  0.9453  0.3164  0.8899
Y  0.3904  0.0113  0.7817
Y  0.6096  0.9887  0.2183
Er  0.2793  0.6520  0.5582
Er  0.7207  0.3480  0.4418
Er  0.9444  0.8215  0.8882
Er  0.0556  0.1785  0.1118

total magnetization: 0.00 μB/f.u.
relative energy among the computed polymorphs: 10 meV/atom
ΔE_f: 0.019 eV/atom
space group: P-1
DFT total energy: -4.95 eV/atom

***

The following is a GGA-PBE calculation of crystalline CeNpS2N at its relaxed geometry, from the Alexandria database.

abc: 3.9083 3.9083 13.6904
angles: 90.00 90.00 90.00
Each line ends with the local moment (μB).
Fractional coordinates of all 10 atoms:
Ce  0.5000  0.0000  0.5855  -0.01
Ce  0.0000  0.5000  0.4145  -0.01
Np  0.5000  0.0000  0.1137  3.79
Np  0.0000  0.5000  0.8863  3.79
S  0.0000  0.5000  0.6994  -0.08
S  0.0000  0.5000  0.0922  -0.12
S  0.5000  0.0000  0.9078  -0.12
S  0.5000  0.0000  0.3006  -0.08
N  0.0000  0.0000  0.5000  -0.01
N  0.5000  0.5000  0.5000  -0.01

total magnetization: 3.88 μB/f.u.
space group: P4/nmm
DFT total energy: -8.59 eV/atom

***

The following is a GGA-PBE calculation of crystalline NaHfPO2 at its relaxed geometry, from the Alexandria database.

abc: 4.1053 4.1053 5.3438
angles: 90.00 90.00 90.00
Each line ends with the local moment (μB).
Fractional coordinates of all 5 atoms:
P  0.0000  0.0000  0.5000  0.58
Hf  0.0000  0.0000  0.0000  -0.03
O  0.0000  0.5000  0.0000  0.23
O  0.5000  0.0000  0.0000  0.23
Na  0.5000  0.5000  0.5000  0.02

total magnetization: 1.90 μB/f.u.
relative energy among the computed polymorphs: 0 meV/atom
space group: P4/mmm
DFT total energy: -6.85 eV/atom